1.
# PBE RbCdBrCl2, relaxed
data_RbCdBrCl2
_symmetry_space_group_name_H-M 'C m c m'
_symmetry_Int_Tables_number 63
_symmetry_space_group_name_Hall '-C 2c 2'
_cell_length_a 4.4242
_cell_length_b 17.0515
_cell_length_c 8.6212
_cell_angle_alpha 90.00
_cell_angle_beta 90.00
_cell_angle_gamma 90.00
loop_
_atom_site_label
_atom_site_type_symbol
_atom_site_fract_x
_atom_site_fract_y
_atom_site_fract_z
Rb1 Rb 0.0000 0.2102 0.2500
Cd1 Cd 0.0000 0.5000 0.0000
Br1 Br 0.0000 0.0010 0.7500
Cl1 Cl 0.0000 0.3560 0.5015
# Distance to the lowest polymorph of the same formula (eV/atom): 0.018
# Energy relative to the elements, uncorrected (eV/atom): -1.3334
# Spin magnetization (μB per cell): 0.20

2.
# PBE BeWSe2, relaxed
data_BeWSe2
_symmetry_space_group_name_H-M 'R -3 m'
_symmetry_Int_Tables_number 166
_symmetry_space_group_name_Hall '-R 3 2"'
_cell_length_a 3.2674
_cell_length_b 3.2674
_cell_length_c 20.3909
_cell_angle_alpha 90.00
_cell_angle_beta 90.00
_cell_angle_gamma 120.00
loop_
_atom_site_label
_atom_site_type_symbol
_atom_site_fract_x
_atom_site_fract_y
_atom_site_fract_z
Be1 Be 0.0000 0.0000 0.0000
W1 W 0.0000 0.0000 0.5000
Se1 Se 0.0000 0.0000 0.2583
# Energy relative to the elements, uncorrected (eV/atom): 0.2036
# Spin magnetization (μB per cell): 0.00

3.
# PBE AsH2F8, relaxed
data_AsH2F8
_symmetry_space_group_name_H-M 'C 1 2/m 1'
_symmetry_Int_Tables_number 12
_symmetry_space_group_name_Hall '-C 2y'
_cell_length_a 7.3118
_cell_length_b 7.8076
_cell_length_c 5.0946
_cell_angle_alpha 90.00
_cell_angle_beta 94.38
_cell_angle_gamma 90.00
loop_
_atom_site_label
_atom_site_type_symbol
_atom_site_fract_x
_atom_site_fract_y
_atom_site_fract_z
As1 As 0.0000 0.0000 0.0000
H1 H 0.1892 0.5000 0.6211
F1 F 0.0509 0.1585 0.7738
F2 F 0.1277 0.5000 0.4310
F3 F 0.2409 0.0000 0.1293
# Distance to the lowest polymorph of the same formula (eV/atom): 0.000
# Spin magnetization (μB per cell): 2.10

4.
# PBE Ac2ReSb, relaxed
data_Ac2ReSb
_symmetry_space_group_name_H-M 'P 4/m m m'
_symmetry_Int_Tables_number 123
_symmetry_space_group_name_Hall '-P 4 2'
_cell_length_a 5.3044
_cell_length_b 5.3044
_cell_length_c 4.1888
_cell_angle_alpha 90.00
_cell_angle_beta 90.00
_cell_angle_gamma 90.00
loop_
_atom_site_label
_atom_site_type_symbol
_atom_site_fract_x
_atom_site_fract_y
_atom_site_fract_z
Ac1 Ac 0.0000 0.5000 0.0000
Re1 Re 0.0000 0.0000 0.5000
Sb1 Sb 0.5000 0.5000 0.5000
# Distance to the lowest polymorph of the same formula (eV/atom): 0.000
# Energy relative to the elements, uncorrected (eV/atom): 0.1168
# Spin magnetization (μB per cell): 0.00

5.
# PBE InBiS3, relaxed
data_InBiS3
_symmetry_space_group_name_H-M 'P m -3 m'
_symmetry_Int_Tables_number 221
_symmetry_space_group_name_Hall '-P 4 2 3'
_cell_length_a 4.9732
_cell_length_b 4.9732
_cell_length_c 4.9732
_cell_angle_alpha 90.00
_cell_angle_beta 90.00
_cell_angle_gamma 90.00
loop_
_atom_site_label
_atom_site_type_symbol
_atom_site_fract_x
_atom_site_fract_y
_atom_site_fract_z
In1 In 0.0000 0.0000 0.0000
Bi1 Bi 0.5000 0.5000 0.5000
S1 S 0.0000 0.0000 0.5000
# Energy relative to the elements, uncorrected (eV/atom): 0.2058
# Spin magnetization (μB per cell): 0.00

6.
# PBE Sc2MoW, relaxed
data_Sc2MoW
_symmetry_space_group_name_H-M 'P m m 2'
_symmetry_Int_Tables_number 25
_symmetry_space_group_name_Hall 'P 2 -2'
_cell_length_a 2.7817
_cell_length_b 4.6795
_cell_length_c 5.6676
_cell_angle_alpha 90.00
_cell_angle_beta 90.00
_cell_angle_gamma 90.00
loop_
_atom_site_label
_atom_site_type_symbol
_atom_site_fract_x
_atom_site_fract_y
_atom_site_fract_z
Sc1 Sc 0.0000 0.0000 0.0000
Sc2 Sc 0.5000 0.5000 0.2632
Mo1 Mo 0.5000 0.5000 0.7378
W1 W 0.0000 0.0000 0.5186
# Distance to the lowest polymorph of the same formula (eV/atom): 0.325
# Spin magnetization (μB per cell): 0.00
# ΔH_f (0 K) (eV per atom): 0.35

7.
# PBE K2PH5, relaxed
data_K2PH5
_symmetry_space_group_name_H-M 'I 4 m m'
_symmetry_Int_Tables_number 107
_symmetry_space_group_name_Hall 'I 4 -2'
_cell_length_a 5.8241
_cell_length_b 5.8241
_cell_length_c 7.3214
_cell_angle_alpha 90.00
_cell_angle_beta 90.00
_cell_angle_gamma 90.00
loop_
_atom_site_label
_atom_site_type_symbol
_atom_site_fract_x
_atom_site_fract_y
_atom_site_fract_z
K1 K 0.0000 0.5000 0.0000
P1 P 0.0000 0.0000 0.2801
H1 H 0.0000 0.0000 0.0854
H2 H 0.2070 0.2070 0.2563
# E_tot (eV for the cell shown): -49.2
# Spin magnetization (μB per cell): 0.00

8.
# PBE Li5Mg5In2, relaxed
data_Li5Mg5In2
_symmetry_space_group_name_H-M 'C 1 2/m 1'
_symmetry_Int_Tables_number 12
_symmetry_space_group_name_Hall '-C 2y'
_cell_length_a 14.5398
_cell_length_b 4.8613
_cell_length_c 8.4395
_cell_angle_alpha 90.00
_cell_angle_beta 125.33
_cell_angle_gamma 90.00
loop_
_atom_site_label
_atom_site_type_symbol
_atom_site_fract_x
_atom_site_fract_y
_atom_site_fract_z
Li1 Li 0.0000 0.0000 0.0000
Li2 Li 0.0755 0.0000 0.3948
Li3 Li 0.2431 0.0000 0.2229
Mg1 Mg 0.0000 0.5000 0.5000
Mg2 Mg 0.0842 0.5000 0.9237
Mg3 Mg 0.1803 0.5000 0.3567
In1 In 0.1580 0.0000 0.8009
# Spin magnetization (μB per cell): 0.00
# ΔH_f (0 K) (eV per atom): -0.14